A geometry-optimized NaMg2CrN4 structure, computed with GGA-PBE.

**Density of states at the Fermi level**: 6.80 states/eV/cell
**Raw formation energy**: -0.415 eV/atom
**Symmetry**: Pmn2_1, No. 31
**Energy**: -6.344 eV per atom

Geometry as CIF:
```
data_NaMg2CrN4
_chemical_formula_sum 'Na2 Mg4 Cr2 N8'
_space_group_name_H-M_alt 'P 1'
_space_group_IT_number 1
_space_group_name_Hall 'P 1'
_cell_length_a 5.360
_cell_length_b 5.666
_cell_length_c 7.071
_cell_angle_alpha 90.00
_cell_angle_beta 90.00
_cell_angle_gamma 90.00
loop_
_atom_site_label
_atom_site_type_symbol
_atom_site_fract_x
_atom_site_fract_y
_atom_site_fract_z
N1 N 0.948 0.884 0.000
N2 N 0.448 0.116 0.500
Mg1 Mg 0.494 0.323 0.255
Cr1 Cr 0.003 0.193 0.000
N3 N 0.378 0.671 0.698
Mg2 Mg 0.494 0.323 0.745
N4 N 0.878 0.329 0.802
Mg3 Mg 0.994 0.677 0.755
Cr2 Cr 0.503 0.807 0.500
Na1 Na 0.482 0.837 0.000
N5 N 0.378 0.671 0.302
N6 N 0.323 0.233 0.000
N7 N 0.823 0.767 0.500
N8 N 0.878 0.329 0.198
Na2 Na 0.982 0.163 0.500
Mg4 Mg 0.994 0.677 0.245
```